DFT (GGA-PBE) results for a relaxed Tl3CuF crystal.

Cell: 5.2100 5.2100 5.2100 Å, 90.00 90.00 90.00°
Fractional coordinates of all 5 atoms:
1 Tl 0.0000 0.5000 0.0000
2 Tl 0.0000 0.0000 0.5000
3 Tl 0.5000 0.0000 0.0000
4 Cu 0.0000 0.0000 0.0000
5 F 0.5000 0.5000 0.5000

Properties
The raw total energy comes out at -14.6 eV for the cell shown. The calculation puts the uncorrected formation energy at -1.5 eV/f.u.